Record 1
{
  "formula": "LiPuNiPb",
  "functional": "PBE",
  "state": "optimized geometry",
  "lattice": [[0.000, 3.363, 3.363], [3.363, 0.000, 3.363], [3.363, 3.363, 0.000]],
  "species": ["Li", "Pu", "Ni", "Pb"],
  "fractional_positions": [[0.000, 0.000, 0.000], [0.750, 0.750, 0.750], [0.500, 0.500, 0.500], [0.250, 0.250, 0.250]],
  "density_g_cm3": 11.28,
  "formation_enthalpy_0k_ev_per_fu": -0.4,
  "dos_ef_per_ev_cell": 8.75
}

***

Record 2
{
  "formula": "SbAuCl2",
  "functional": "PBE",
  "state": "optimized geometry",
  "lattice": [[-1.864, 2.654, 7.365], [1.864, -2.654, 7.365], [1.864, 2.654, -7.365]],
  "species": ["Sb", "Au", "Cl", "Cl"],
  "fractional_positions": [[0.000, 0.000, 0.000], [0.128, 0.628, 0.500], [0.242, 0.242, 0.000], [0.482, 0.982, 0.500]],
  "density_g_cm3": 4.44,
  "e_form_raw_ev_per_atom": -0.424,
  "e_above_lowest_polymorph_mev_per_atom": 22
}

***

Record 3
{
  "formula": "Li2TaSb",
  "functional": "PBE",
  "state": "optimized geometry",
  "lattice": [[5.242, -1.470, 0.000], [5.242, 1.470, 0.000], [-2.229, 0.000, 4.962]],
  "species": ["Li", "Li", "Ta", "Sb"],
  "fractional_positions": [[0.000, 0.000, 0.000], [0.242, 0.242, 0.921], [0.480, 0.480, 0.484], [0.736, 0.736, 0.443]],
  "density_g_cm3": 6.88,
  "e_form_raw_ev_per_atom": 0.137,
  "dos_ef_per_ev_cell": 1.94
}

***

Record 4
{
  "formula": "NdTh2Rh2",
  "functional": "PBE",
  "state": "optimized geometry",
  "lattice": [[8.004, 0.000, 0.000], [0.000, 8.004, 0.000], [0.000, 0.000, 3.851]],
  "species": ["Nd", "Nd", "Th", "Th", "Th", "Th", "Rh", "Rh", "Rh", "Rh"],
  "fractional_positions": [[0.000, 0.000, 0.000], [0.500, 0.500, 0.000], [0.166, 0.334, 0.500], [0.334, 0.834, 0.500], [0.666, 0.166, 0.500], [0.834, 0.666, 0.500], [0.131, 0.631, 0.000], [0.369, 0.131, 0.000], [0.631, 0.869, 0.000], [0.869, 0.369, 0.000]],
  "density_g_cm3": 10.96,
  "formation_enthalpy_0k_ev_per_fu": -3.5,
  "e_above_lowest_polymorph_mev_per_atom": 0,
  "dos_ef_per_ev_cell": 7.78
}

***

Record 5
{
  "formula": "Er2PaTe2N2",
  "functional": "PBE",
  "state": "optimized geometry",
  "lattice": [[-2.191, 2.191, 8.114], [2.191, -2.191, 8.114], [2.191, 2.191, -8.114]],
  "species": ["Er", "Er", "Pa", "Te", "Te", "N", "N"],
  "fractional_positions": [[0.104, 0.104, 0.000], [0.896, 0.896, 0.000], [0.500, 0.500, 0.000], [0.313, 0.313, 0.000], [0.687, 0.687, 0.000], [0.000, 0.500, 0.500], [0.500, 0.000, 0.500]],
  "density_g_cm3": 9.05,
  "e_form_raw_ev_per_atom": -1.239,
  "dos_ef_per_ev_cell": 4.84
}

***

Record 6
{
  "formula": "Er3CoCu2",
  "functional": "PBE",
  "state": "optimized geometry",
  "lattice": [[3.377, 0.000, 0.000], [0.000, 3.377, 0.000], [0.000, 0.000, 10.274]],
  "species": ["Er", "Er", "Er", "Co", "Cu", "Cu"],
  "fractional_positions": [[0.000, 0.000, 0.000], [0.000, 0.000, 0.342], [0.000, 0.000, 0.658], [0.500, 0.500, 0.500], [0.500, 0.500, 0.170], [0.500, 0.500, 0.830]],
  "density_g_cm3": 9.75,
  "formation_enthalpy_0k_ev_per_fu": -1.5,
  "e_above_lowest_polymorph_mev_per_atom": 0,
  "dos_ef_per_ev_cell": 3.63
}

***

Record 7
{
  "formula": "AcNdSi2",
  "functional": "PBE",
  "state": "optimized geometry",
  "lattice": [[4.049, 0.000, 0.000], [0.000, 6.153, 0.000], [0.000, 0.000, 8.468]],
  "species": ["Ac", "Ac", "Nd", "Nd", "Si", "Si", "Si", "Si"],
  "fractional_positions": [[0.000, 0.130, 0.000], [0.000, 0.870, 0.500], [0.500, 0.365, 0.359], [0.500, 0.635, 0.859], [0.000, 0.382, 0.643], [0.000, 0.618, 0.143], [0.500, 0.156, 0.709], [0.500, 0.844, 0.209]],
  "density_g_cm3": 6.73,
  "e_form_raw_ev_per_atom": -0.642,
  "e_above_lowest_polymorph_mev_per_atom": 0,
  "dos_ef_per_ev_cell": 6.41
}

***

Record 8
{
  "formula": "HgRu2W",
  "functional": "PBE",
  "state": "optimized geometry",
  "lattice": [[4.809, 0.000, 0.000], [0.000, 2.861, 0.000], [-1.929, 0.000, 4.625]],
  "species": ["Hg", "Ru", "Ru", "W"],
  "fractional_positions": [[0.000, 0.000, 0.000], [0.500, 0.000, 0.500], [0.500, 0.500, 0.000], [0.000, 0.500, 0.500]],
  "density_g_cm3": 15.31,
  "formation_enthalpy_0k_ev_per_fu": 2.2,
  "e_above_lowest_polymorph_mev_per_atom": 330,
  "dos_ef_per_ev_cell": 3.87
}

***

Record 9
{
  "formula": "Er4Sc5",
  "functional": "PBE",
  "state": "optimized geometry",
  "lattice": [[9.202, 0.000, 0.000], [-4.601, 7.969, 0.000], [0.000, 0.000, 6.622]],
  "species": ["Er", "Er", "Er", "Er", "Er", "Er", "Er", "Er", "Sc", "Sc", "Sc", "Sc", "Sc", "Sc", "Sc", "Sc", "Sc", "Sc"],
  "fractional_positions": [[0.000, 0.000, 0.000], [0.000, 0.000, 0.500], [0.000, 0.363, 0.250], [0.000, 0.637, 0.750], [0.363, 0.000, 0.250], [0.363, 0.363, 0.750], [0.637, 0.000, 0.750], [0.637, 0.637, 0.250], [0.000, 0.309, 0.750], [0.000, 0.691, 0.250], [0.309, 0.000, 0.750], [0.309, 0.309, 0.250], [0.333, 0.667, 0.000], [0.333, 0.667, 0.500], [0.667, 0.333, 0.000], [0.667, 0.333, 0.500], [0.691, 0.000, 0.250], [0.691, 0.691, 0.750]],
  "density_g_cm3": 6.11,
  "formation_enthalpy_0k_ev_per_fu": 0.6,
  "dos_ef_per_ev_cell": 25.65
}

***

Record 10
{
  "formula": "Ac7Zn2Ag2",
  "functional": "PBE",
  "state": "optimized geometry",
  "lattice": [[4.111, -6.050, 0.000], [4.111, 6.050, 0.000], [0.000, 0.000, 8.160]],
  "species": ["Ac", "Ac", "Ac", "Ac", "Ac", "Ac", "Ac", "Zn", "Zn", "Ag", "Ag"],
  "fractional_positions": [[0.000, 0.000, 0.000], [0.000, 0.500, 0.285], [0.000, 0.500, 0.715], [0.500, 0.000, 0.285], [0.500, 0.000, 0.715], [0.500, 0.500, 0.269], [0.500, 0.500, 0.731], [0.159, 0.159, 0.500], [0.841, 0.841, 0.500], [0.294, 0.706, 0.000], [0.706, 0.294, 0.000]],
  "density_g_cm3": 7.92,
  "formation_enthalpy_0k_ev_per_fu": 0.6,
  "dos_ef_per_ev_cell": 11.84
}

***

Record 11
{
  "formula": "K4Cu2Se2O",
  "functional": "PBE",
  "state": "optimized geometry",
  "lattice": [[5.465, -4.145, 0.000], [5.465, 4.145, 0.000], [-1.546, 0.000, 5.113]],
  "species": ["K", "K", "K", "K", "Cu", "Cu", "Se", "Se", "O"],
  "fractional_positions": [[0.135, 0.657, 0.705], [0.343, 0.865, 0.295], [0.657, 0.135, 0.705], [0.865, 0.343, 0.295], [0.360, 0.360, 0.207], [0.640, 0.640, 0.793], [0.184, 0.184, 0.850], [0.816, 0.816, 0.150], [0.500, 0.500, 0.500]],
  "density_g_cm3": 3.28,
  "e_form_raw_ev_per_atom": -0.856
}

***

Record 12
{
  "formula": "KBa2Ta",
  "functional": "PBE",
  "state": "optimized geometry",
  "lattice": [[0.000, 4.421, 4.421], [4.421, 0.000, 4.421], [4.421, 4.421, 0.000]],
  "species": ["K", "Ba", "Ba", "Ta"],
  "fractional_positions": [[0.000, 0.000, 0.000], [0.250, 0.250, 0.250], [0.750, 0.750, 0.750], [0.500, 0.500, 0.500]],
  "density_g_cm3": 4.75,
  "formation_enthalpy_0k_ev_per_fu": 4.2,
  "e_above_lowest_polymorph_mev_per_atom": 239,
  "dos_ef_per_ev_cell": 5.81
}